Material: Li2LaSiNi
Method: DFT, PBE
State: relaxed

calculated density = 4.3 g/cm3
raw formation energy = -0.26 eV/atom

Lattice parameters (Å, degrees): 4.6075 4.6075 4.3772 90.00 90.00 90.00
Last column: nearest neighbours and their distance in Å.
Fractional positions:
Li 0.0000 0.5000 0.0000  2 Ni 2.30
Li 0.5000 0.0000 0.0000  2 Ni 2.30
La 0.0000 0.0000 0.5000  8 Li 3.18, 4 Si 3.26
Si 0.5000 0.5000 0.5000  2 Ni 2.19
Ni 0.5000 0.5000 0.0000  2 Si 2.19, 4 Li 2.30


Material: MgTe4Br
Method: DFT, PBE
State: relaxed

calculated density = 5.6 g/cm3
raw formation energy = 0.15 eV/atom

Lattice parameters (Å, degrees): 6.3709 6.3709 6.3709 60.00 60.00 60.00
Last column: nearest neighbours and their distance in Å.
Fractional positions:
Mg 0.0000 0.0000 0.0000  12 Te 3.74, 4 Br 3.90
Te 0.1256 0.6248 0.6248  6 Te 3.18-3.19
Te 0.6248 0.1256 0.6248  6 Te 3.18-3.19
Te 0.6248 0.6248 0.1256  6 Te 3.18-3.19
Te 0.6248 0.6248 0.6248  6 Te 3.18-3.19
Br 0.2500 0.2500 0.2500  12 Te 3.73, 4 Mg 3.90


Material: PaMnGe2
Method: DFT, PBE
State: relaxed

calculated density = 9.4 g/cm3
energy relative to the elements = -0.181 eV per atom

Lattice parameters (Å, degrees): 4.3253 4.3253 4.0928 90.00 90.00 90.00
Last column: nearest neighbours and their distance in Å.
Fractional positions:
Pa 0.0000 0.0000 0.0000  8 Ge 2.98, 4 Mn 3.06
Mn 0.5000 0.5000 0.0000  8 Ge 2.98, 4 Pa 3.06
Ge 0.0000 0.5000 0.5000  4 Mn 2.98, 4 Pa 2.98, 4 Ge 3.06
Ge 0.5000 0.0000 0.5000  4 Mn 2.98, 4 Pa 2.98, 4 Ge 3.06


Number 1: total magnetic moment 0.000 μB/f.u.. Number 2: total magnetic moment 0.000 μB/f.u.. Number 3: total magnetic moment 3.631 μB/f.u..